Record 1
Sn4Os: optimized geometry, GGA-PBE.

The structure in POSCAR format:
```
Sn4Os
1.0
6.030 0.000 0.000
0.000 6.030 0.000
0.000 0.000 6.519
Sn Os
8 2
Cartesian
1.183 1.212 2.285 Sn
1.212 4.848 4.234 Sn
1.803 1.832 5.545 Sn
1.832 4.227 0.974 Sn
4.198 1.803 0.974 Sn
4.227 4.198 5.545 Sn
4.818 1.183 4.234 Sn
4.848 4.818 2.285 Sn
0.000 0.000 0.000 Os
3.015 3.015 3.260 Os
```

**Space-group type**: P-42_1c, No. 114
**Raw total energy**: -5.2832 eV per atom
**Magnetization**: 0.000 μB per formula unit
**DOS at the Fermi energy**: 0.68 states/eV/atom
**Calculated volume**: 237 Å³ per cell
**E_form**: 0.165 eV per atom

***

Record 2
MnBr: optimized geometry, GGA-PBE.

The structure in POSCAR format:
```
MnBr
1.0
-1.892 1.892 6.426
1.892 -1.892 6.426
1.892 1.892 -6.426
Mn Br
2 2
Cartesian
1.892 0.946 1.607 Mn
0.000 0.946 4.820 Mn
1.892 -0.946 4.820 Br
0.000 2.839 1.607 Br
```

**Space-group type**: I4_1/amd, No. 141
**Uncorrected formation energy**: 0.279 eV/atom
**Raw total energy**: -5.1420 eV per atom
**Magnetization**: 4.283 μB per formula unit
**DOS at the Fermi energy**: 0.60 states/eV/atom
**Calculated volume**: 92 Å³ per cell